Arrangement a

# Na2BiAu2 GGA-PBE relaxed
data_Na2BiAu2
_space_group_name_H-M_alt 'I 4/m m m'
_space_group_IT_number 139
_space_group_name_Hall '-I 4 2'
_cell_length_a 4.205
_cell_length_b 4.205
_cell_length_c 13.773
_cell_angle_alpha 90.00
_cell_angle_beta 90.00
_cell_angle_gamma 90.00
loop_
_atom_site_label
_atom_site_fract_x
_atom_site_fract_y
_atom_site_fract_z
Na1 0.000 0.500 0.250
Bi1 0.000 0.000 0.000
Au1 0.000 0.000 0.400
# crystal system = tetragonal

Arrangement b

# Na2BiAu2 GGA-PBE relaxed
data_Na2BiAu2
_space_group_name_H-M_alt 'C 1 2/c 1'
_space_group_IT_number 15
_cell_length_a 10.226
_cell_length_b 5.711
_cell_length_c 8.839
_cell_angle_alpha 90.00
_cell_angle_beta 101.77
_cell_angle_gamma 90.00
loop_
_space_group_symop_operation_xyz
'x,y,z'
'-x,-y,-z'
'-x,y,-z+1/2'
'x,-y,z+1/2'
'x+1/2,y+1/2,z'
'-x+1/2,-y+1/2,-z'
'-x+1/2,y+1/2,-z+1/2'
'x+1/2,-y+1/2,z+1/2'
loop_
_atom_site_label
_atom_site_fract_x
_atom_site_fract_y
_atom_site_fract_z
Na1 0.155 0.151 0.155
Bi1 0.000 0.323 0.750
Au1 0.132 0.367 0.482
# crystal system = monoclinic

Relative calculated energies, zero for the most stable structure, unit eV/atom: arrangement a 0.260; arrangement b 0.000.

Arrangement a

# Na2BiAu2 GGA-PBE relaxed
data_Na2BiAu2
_space_group_name_H-M_alt 'I m m m'
_space_group_IT_number 71
_space_group_name_Hall '-I 2 2'
_cell_length_a 4.826
_cell_length_b 5.920
_cell_length_c 9.025
_cell_angle_alpha 90.00
_cell_angle_beta 90.00
_cell_angle_gamma 90.00
loop_
_atom_site_label
_atom_site_fract_x
_atom_site_fract_y
_atom_site_fract_z
Na1 0.000 0.000 0.198
Bi1 0.000 0.500 0.000
Au1 0.000 0.271 0.500
# crystal system = orthorhombic

Arrangement b

# Na2BiAu2 GGA-PBE relaxed
data_Na2BiAu2
_space_group_name_H-M_alt 'P 4/m b m'
_space_group_IT_number 127
_space_group_name_Hall '-P 4 2ab'
_cell_length_a 8.778
_cell_length_b 8.778
_cell_length_c 3.021
_cell_angle_alpha 90.00
_cell_angle_beta 90.00
_cell_angle_gamma 90.00
loop_
_atom_site_label
_atom_site_fract_x
_atom_site_fract_y
_atom_site_fract_z
Na1 0.132 0.368 0.000
Bi1 0.000 0.000 0.000
Au1 0.163 0.663 0.500
# crystal system = tetragonal

Relative calculated energies, zero for the most stable structure, unit eV/atom: arrangement a 0.000; arrangement b 0.183.

Arrangement a

# NaBiPbAu GGA-PBE relaxed
data_NaBiPbAu
_space_group_name_H-M_alt 'C 1 m 1'
_space_group_IT_number 8
_cell_length_a 10.684
_cell_length_b 4.478
_cell_length_c 5.873
_cell_angle_alpha 90.00
_cell_angle_beta 122.37
_cell_angle_gamma 90.00
loop_
_space_group_symop_operation_xyz
'x,y,z'
'x,-y,z'
'x+1/2,y+1/2,z'
'x+1/2,-y+1/2,z'
loop_
_atom_site_label
_atom_site_fract_x
_atom_site_fract_y
_atom_site_fract_z
Na1 0.000 0.000 0.000
Bi1 0.185 0.000 0.688
Pb1 0.389 0.000 0.421
Au1 0.237 0.500 0.045
# crystal system = monoclinic

Arrangement b

# NaBiPbAu GGA-PBE relaxed
data_NaBiPbAu
_space_group_name_H-M_alt 'F -4 3 m'
_space_group_IT_number 216
_space_group_name_Hall 'F -4 2 3'
_cell_length_a 7.423
_cell_length_b 7.423
_cell_length_c 7.423
_cell_angle_alpha 90.00
_cell_angle_beta 90.00
_cell_angle_gamma 90.00
loop_
_atom_site_label
_atom_site_fract_x
_atom_site_fract_y
_atom_site_fract_z
Na1 0.000 0.000 0.000
Bi1 0.250 0.250 0.250
Pb1 0.250 0.250 0.750
Au1 0.000 0.000 0.500
# crystal system = cubic

Relative calculated energies, zero for the most stable structure, unit eV/atom: arrangement a 0.000; arrangement b 0.016.

Arrangement a

# NbBi3Au GGA-PBE relaxed
data_NbBi3Au
_space_group_name_H-M_alt 'P m -3 m'
_space_group_IT_number 221
_space_group_name_Hall '-P 4 2 3'
_cell_length_a 5.454
_cell_length_b 5.454
_cell_length_c 5.454
_cell_angle_alpha 90.00
_cell_angle_beta 90.00
_cell_angle_gamma 90.00
loop_
_atom_site_label
_atom_site_fract_x
_atom_site_fract_y
_atom_site_fract_z
Nb1 0.000 0.000 0.000
Bi1 0.000 0.000 0.500
Au1 0.500 0.500 0.500
# crystal system = cubic

Arrangement b

# NbBi3Au GGA-PBE relaxed
data_NbBi3Au
_space_group_name_H-M_alt 'P m -3 m'
_space_group_IT_number 221
_space_group_name_Hall '-P 4 2 3'
_cell_length_a 5.487
_cell_length_b 5.487
_cell_length_c 5.487
_cell_angle_alpha 90.00
_cell_angle_beta 90.00
_cell_angle_gamma 90.00
loop_
_atom_site_label
_atom_site_fract_x
_atom_site_fract_y
_atom_site_fract_z
Nb1 0.000 0.000 0.000
Bi1 0.000 0.500 0.500
Au1 0.500 0.500 0.500
# crystal system = cubic

Relative calculated energies, zero for the most stable structure, unit eV/atom: arrangement a 0.000; arrangement b 0.498.

Arrangement a

# Nb2BiAu2 GGA-PBE relaxed
data_Nb2BiAu2
_space_group_name_H-M_alt 'P 4/m b m'
_space_group_IT_number 127
_space_group_name_Hall '-P 4 2ab'
_cell_length_a 7.246
_cell_length_b 7.246
_cell_length_c 4.019
_cell_angle_alpha 90.00
_cell_angle_beta 90.00
_cell_angle_gamma 90.00
loop_
_atom_site_label
_atom_site_fract_x
_atom_site_fract_y
_atom_site_fract_z
Nb1 0.129 0.371 0.000
Bi1 0.000 0.000 0.000
Au1 0.154 0.654 0.500
# crystal system = tetragonal

Arrangement b

# Nb2BiAu2 GGA-PBE relaxed
data_Nb2BiAu2
_space_group_name_H-M_alt 'I 4/m m m'
_space_group_IT_number 139
_space_group_name_Hall '-I 4 2'
_cell_length_a 3.857
_cell_length_b 3.857
_cell_length_c 14.082
_cell_angle_alpha 90.00
_cell_angle_beta 90.00
_cell_angle_gamma 90.00
loop_
_atom_site_label
_atom_site_fract_x
_atom_site_fract_y
_atom_site_fract_z
Nb1 0.000 0.000 0.098
Bi1 0.000 0.000 0.500
Au1 0.000 0.500 0.250
# crystal system = tetragonal

Relative calculated energies, zero for the most stable structure, unit eV/atom: arrangement a 0.000; arrangement b 0.100.

Arrangement a

# NiBiAu3 GGA-PBE relaxed
data_NiBiAu3
_space_group_name_H-M_alt 'P m -3 m'
_space_group_IT_number 221
_space_group_name_Hall '-P 4 2 3'
_cell_length_a 4.803
_cell_length_b 4.803
_cell_length_c 4.803
_cell_angle_alpha 90.00
_cell_angle_beta 90.00
_cell_angle_gamma 90.00
loop_
_atom_site_label
_atom_site_fract_x
_atom_site_fract_y
_atom_site_fract_z
Ni1 0.000 0.000 0.000
Bi1 0.500 0.500 0.500
Au1 0.000 0.000 0.500
# crystal system = cubic

Arrangement b

# NiBiAu3 GGA-PBE relaxed
data_NiBiAu3
_space_group_name_H-M_alt 'P m -3 m'
_space_group_IT_number 221
_space_group_name_Hall '-P 4 2 3'
_cell_length_a 5.366
_cell_length_b 5.366
_cell_length_c 5.366
_cell_angle_alpha 90.00
_cell_angle_beta 90.00
_cell_angle_gamma 90.00
loop_
_atom_site_label
_atom_site_fract_x
_atom_site_fract_y
_atom_site_fract_z
Ni1 0.000 0.000 0.000
Bi1 0.500 0.500 0.500
Au1 0.000 0.500 0.500
# crystal system = cubic

Relative calculated energies, zero for the most stable structure, unit eV/atom: arrangement a 0.000; arrangement b 0.732.